No. 1
# KEr3F10

A PBEsol-optimized structure of KEr3F10 (SCAN, Alexandria via LeMat-Bulk).

a b c (Å): 8.0289 8.0289 8.0289
angles (deg): 60.00 60.00 60.00
With the nearest neighbours (Å) after each atom.
Positions (direct):
Er: 0.2399 0.7601 0.2399  8 F 2.16-2.31
Er: 0.7601 0.2399 0.7601  8 F 2.16-2.31
Er: 0.2399 0.2399 0.7601  8 F 2.16-2.31
Er: 0.7601 0.7601 0.2399  8 F 2.16-2.31
Er: 0.7601 0.2399 0.2399  8 F 2.16-2.31
Er: 0.2399 0.7601 0.7601  8 F 2.16-2.31
F: 0.1120 0.1120 0.1120  3 Er 2.31, 3 F 2.54
F: 0.6641 0.1120 0.1120  3 Er 2.31, 3 F 2.54
F: 0.1120 0.1120 0.6641  3 Er 2.31, 3 F 2.54
F: 0.1120 0.6641 0.1120  3 Er 2.31, 3 F 2.54
F: 0.3359 0.8880 0.8880  3 Er 2.31, 3 F 2.54
F: 0.8880 0.8880 0.8880  3 Er 2.31, 3 F 2.54
F: 0.8880 0.8880 0.3359  3 Er 2.31, 3 F 2.54
F: 0.8880 0.3359 0.8880  3 Er 2.31, 3 F 2.54
F: 0.5000 0.8310 0.5000  2 Er 2.16
F: 0.1690 0.5000 0.8310  2 Er 2.16
F: 0.8310 0.5000 0.1690  2 Er 2.16
F: 0.5000 0.1690 0.5000  2 Er 2.16
F: 0.5000 0.5000 0.8310  2 Er 2.16
F: 0.8310 0.1690 0.5000  2 Er 2.16
F: 0.1690 0.8310 0.5000  2 Er 2.16
F: 0.5000 0.5000 0.1690  2 Er 2.16
F: 0.8310 0.5000 0.5000  2 Er 2.16
F: 0.5000 0.8310 0.1690  2 Er 2.16
F: 0.5000 0.1690 0.8310  2 Er 2.16
F: 0.1690 0.5000 0.5000  2 Er 2.16
K: 0.2500 0.2500 0.2500  4 F 2.71
K: 0.7500 0.7500 0.7500  4 F 2.71

As for the final energy: -18.200 eV per atom. Its crystal system is cubic.


No. 2
# K3ErF6

A PBEsol-optimized structure of K3ErF6 (SCAN, Alexandria via LeMat-Bulk).

a b c (Å): 6.2551 6.5064 8.9018
angles (deg): 90.00 88.89 90.00
With the nearest neighbours (Å) after each atom.
Positions (direct):
K: 0.5000 0.5000 0.0000  6 F 2.55-2.64
K: 0.0000 0.0000 0.5000  6 F 2.55-2.64
K: 0.4807 0.0535 0.2421  5 F 2.62-2.82
K: 0.5193 0.9465 0.7579  5 F 2.62-2.82
K: 0.0193 0.5535 0.2579  5 F 2.62-2.82
K: 0.9807 0.4465 0.7421  5 F 2.62-2.82
Er: 0.5000 0.5000 0.5000  6 F 2.14-2.15
Er: 0.0000 0.0000 0.0000  6 F 2.14-2.15
F: 0.3290 0.7658 0.4231  1 Er 2.15
F: 0.6710 0.2342 0.5769  1 Er 2.15
F: 0.1710 0.2658 0.0769  1 Er 2.15
F: 0.8290 0.7342 0.9231  1 Er 2.15
F: 0.6194 0.4374 0.2772  1 Er 2.14
F: 0.3806 0.5626 0.7228  1 Er 2.14
F: 0.8806 0.9374 0.2228  1 Er 2.14
F: 0.1194 0.0626 0.7772  1 Er 2.14
F: 0.2241 0.3209 0.4502  1 Er 2.14
F: 0.7759 0.6791 0.5498  1 Er 2.14
F: 0.2759 0.8209 0.0498  1 Er 2.14
F: 0.7241 0.1791 0.9502  1 Er 2.14

As for the final energy: -13.218 eV per atom. Its crystal system is monoclinic.


No. 3
# NaLiEr2F8

A PBEsol-optimized structure of NaLiEr2F8 (SCAN, Alexandria via LeMat-Bulk).

a b c (Å): 6.5780 6.5780 6.9327
angles (deg): 90.00 90.00 102.94
With the nearest neighbours (Å) after each atom.
Positions (direct):
Na: 0.6577 0.6577 0.7500  5 F 2.19-2.29
Na: 0.3423 0.3423 0.2500  5 F 2.19-2.29
Li: 0.0000 0.0000 0.0000  2 F 1.88
Li: 0.0000 0.0000 0.5000  2 F 1.88
Er: 0.4504 0.0760 0.7500  8 F 2.16-2.40
Er: 0.5496 0.9240 0.2500  8 F 2.16-2.40
Er: 0.0760 0.4504 0.7500  8 F 2.16-2.40
Er: 0.9240 0.5496 0.2500  8 F 2.16-2.40
F: 0.0883 0.0883 0.7500  2 Li 1.88
F: 0.9117 0.9117 0.2500  2 Li 1.88
F: 0.6610 0.9368 0.9492  1 Li 2.20, 2 Er 2.21-2.29, 1 Na 2.29
F: 0.3390 0.0632 0.0508  1 Li 2.20, 2 Er 2.21-2.29, 1 Na 2.29
F: 0.9368 0.6610 0.5508  1 Li 2.20, 2 Er 2.21-2.29, 1 Na 2.29
F: 0.0632 0.3390 0.4492  1 Li 2.20, 2 Er 2.21-2.29, 1 Na 2.29
F: 0.3901 0.3901 0.7500  2 Er 2.19, 1 Na 2.19
F: 0.6099 0.6099 0.2500  2 Er 2.19, 1 Na 2.19
F: 0.3069 0.7460 0.7500  2 Er 2.16-2.18
F: 0.6931 0.2540 0.2500  2 Er 2.16-2.18
F: 0.7460 0.3069 0.7500  2 Er 2.16-2.18
F: 0.2540 0.6931 0.2500  2 Er 2.16-2.18
F: 0.3390 0.0632 0.4492  1 Li 2.20, 2 Er 2.21-2.29, 1 Na 2.29
F: 0.6610 0.9368 0.5508  1 Li 2.20, 2 Er 2.21-2.29, 1 Na 2.29
F: 0.0632 0.3390 0.0508  1 Li 2.20, 2 Er 2.21-2.29, 1 Na 2.29
F: 0.9368 0.6610 0.9492  1 Li 2.20, 2 Er 2.21-2.29, 1 Na 2.29

As for the final energy: -15.306 eV per atom. Its crystal system is orthorhombic.


No. 4
# NaErF4

A PBEsol-optimized structure of NaErF4 (SCAN, Alexandria via LeMat-Bulk).

a b c (Å): 3.7333 3.7333 5.4572
angles (deg): 90.00 90.00 90.00
With the nearest neighbours (Å) after each atom.
Positions (direct):
Na: 0.0000 0.0000 0.0000  8 F 2.38
Er: 0.5000 0.5000 0.5000  8 F 2.25
F: 0.5000 0.0000 0.7287  2 Er 2.25, 2 Na 2.38, 1 F 2.50
F: 0.0000 0.5000 0.2713  2 Er 2.25, 2 Na 2.38, 1 F 2.50
F: 0.5000 0.0000 0.2713  2 Er 2.25, 2 Na 2.38, 1 F 2.50
F: 0.0000 0.5000 0.7287  2 Er 2.25, 2 Na 2.38, 1 F 2.50

As for the final energy: -15.422 eV per atom. Its crystal system is tetragonal.


No. 5
# NaErF4

A PBEsol-optimized structure of NaErF4 (SCAN, Alexandria via LeMat-Bulk).

a b c (Å): 5.3656 5.3656 6.4854
angles (deg): 114.44 114.44 90.00
With the nearest neighbours (Å) after each atom.
Positions (direct):
Na: 0.7500 0.2500 0.5000  8 F 2.37
Na: 0.5000 0.5000 0.0000  8 F 2.37
F: 0.6250 0.1046 0.7500  2 Er 2.25, 2 Na 2.37, 1 F 2.46
F: 0.3546 0.3750 0.2500  2 Er 2.25, 2 Na 2.37, 1 F 2.46
F: 0.1250 0.1046 0.7500  2 Er 2.25, 2 Na 2.37, 1 F 2.46
F: 0.1250 0.6454 0.7500  2 Er 2.25, 2 Na 2.37, 1 F 2.46
F: 0.8954 0.3750 0.2500  2 Er 2.25, 2 Na 2.37, 1 F 2.46
F: 0.6250 0.6454 0.7500  2 Er 2.25, 2 Na 2.37, 1 F 2.46
F: 0.8954 0.8750 0.2500  2 Er 2.25, 2 Na 2.37, 1 F 2.46
F: 0.3546 0.8750 0.2500  2 Er 2.25, 2 Na 2.37, 1 F 2.46
Er: 0.2500 0.7500 0.5000  8 F 2.25
Er: 0.0000 0.0000 0.0000  8 F 2.25

As for the final energy: -15.422 eV per atom. Its crystal system is tetragonal.


No. 6
# NaErPO4F

A PBEsol-optimized structure of NaErPO4F (SCAN, Alexandria via LeMat-Bulk).

a b c (Å): 5.6043 5.6043 6.4071
angles (deg): 77.23 77.23 75.66
With the nearest neighbours (Å) after each atom.
Positions (direct):
Na: 0.2929 0.7071 0.5000  2 F 2.42, 4 O 2.47-2.60
Na: 0.7071 0.2929 0.5000  2 F 2.42, 4 O 2.47-2.60
Er: 0.7164 0.7164 0.8852  2 F 2.23-2.25, 6 O 2.24-2.41
Er: 0.2836 0.2836 0.1148  2 F 2.23-2.25, 6 O 2.24-2.41
P: 0.1538 0.1538 0.7240  4 O 1.54-1.55
P: 0.8462 0.8462 0.2760  4 O 1.54-1.55
O: 0.0188 0.3738 0.8465  1 P 1.55
O: 0.6262 0.9812 0.1535  1 P 1.55
O: 0.9789 0.9789 0.7310  1 P 1.54
O: 0.0211 0.0211 0.2690  1 P 1.54
O: 0.2568 0.2568 0.4868  1 P 1.54
O: 0.7432 0.7432 0.5132  1 P 1.54
O: 0.9812 0.6262 0.1535  1 P 1.55
O: 0.3738 0.0188 0.8465  1 P 1.55
F: 0.4821 0.4821 0.8116  2 Er 2.23-2.25, 2 Na 2.42
F: 0.5179 0.5179 0.1884  2 Er 2.23-2.25, 2 Na 2.42

As for the final energy: -14.942 eV per atom. Its crystal system is monoclinic.


No. 7
# ErOF

A PBEsol-optimized structure of ErOF (SCAN, Alexandria via LeMat-Bulk).

a b c (Å): 3.7290 3.7290 6.5523
angles (deg): 73.47 73.47 60.00
With the nearest neighbours (Å) after each atom.
Positions (direct):
Er: 0.2587 0.2587 0.2239  4 O 2.22-2.23, 4 F 2.39
Er: 0.7413 0.7413 0.7761  4 O 2.22-2.23, 4 F 2.39
O: 0.3786 0.3786 0.8643  4 Er 2.22-2.23
O: 0.6214 0.6214 0.1357  4 Er 2.22-2.23
F: 0.1302 0.1302 0.6094  4 Er 2.39, 3 F 2.54, 3 O 2.67
F: 0.8698 0.8698 0.3906  4 Er 2.39, 3 F 2.54, 3 O 2.67

As for the final energy: -24.298 eV per atom. Its crystal system is trigonal.


No. 8
# Er3S2OF3

A PBEsol-optimized structure of Er3S2OF3 (SCAN, Alexandria via LeMat-Bulk).

a b c (Å): 5.3174 5.3234 9.6686
angles (deg): 105.98 90.26 89.07
With the nearest neighbours (Å) after each atom.
Positions (direct):
Er: 0.7526 0.2537 0.4987  6 F 2.23-2.30, 2 O 2.30-2.31
Er: 0.2526 0.7549 0.5013  6 F 2.23-2.30, 2 O 2.30-2.31
Er: 0.7661 0.9106 0.8085  1 O 2.18, 1 F 2.23
Er: 0.2090 0.3622 0.8083  2 F 2.25, 1 O 2.43
Er: 0.2661 0.1021 0.1915  1 O 2.18, 1 F 2.23
Er: 0.7090 0.5540 0.1917  2 F 2.25, 1 O 2.43
S: 0.7598 0.0312 0.1112  5 Er 2.68-2.87
S: 0.2191 0.5477 0.1088  5 Er 2.71-2.85
S: 0.2598 0.9200 0.8888  5 Er 2.68-2.87
S: 0.7191 0.4389 0.8912  5 Er 2.71-2.85
O: 0.9606 0.0330 0.6409  4 Er 2.18-2.43
O: 0.4606 0.3921 0.3591  4 Er 2.18-2.43
F: 0.4434 0.1348 0.6207  3 Er 2.23-2.29, 1 F 2.48
F: 0.9434 0.5141 0.3793  3 Er 2.23-2.29, 1 F 2.48
F: 0.0755 0.0142 0.3770  3 Er 2.23-2.26
F: 0.5640 0.8860 0.3727  3 Er 2.25-2.30, 1 F 2.48
F: 0.5755 0.6372 0.6230  3 Er 2.23-2.26
F: 0.0640 0.5133 0.6273  3 Er 2.25-2.30, 1 F 2.48

As for the final energy: -24.386 eV per atom. Its crystal system is monoclinic.


No. 9
# Er3SiSe2O10F

A PBEsol-optimized structure of Er3SiSe2O10F (SCAN, Alexandria via LeMat-Bulk).

a b c (Å): 5.8081 10.2238 15.2488
angles (deg): 90.00 90.00 90.00
With the nearest neighbours (Å) after each atom.
Positions (direct):
Er: 0.2500 0.8738 0.0000  8 O 2.22-2.36
Er: 0.2500 0.6262 0.5000  8 O 2.22-2.36
Er: 0.7500 0.1262 0.0000  8 O 2.22-2.36
Er: 0.7500 0.3738 0.5000  8 O 2.22-2.36
Er: 0.4309 0.8862 0.3472  6 O 2.17-2.41, 1 F 2.18
Er: 0.0691 0.8862 0.6528  6 O 2.17-2.41, 1 F 2.18
Er: 0.0691 0.6138 0.8472  6 O 2.17-2.41, 1 F 2.18
Er: 0.4309 0.6138 0.1528  6 O 2.17-2.41, 1 F 2.18
Er: 0.5691 0.1138 0.6528  6 O 2.17-2.41, 1 F 2.18
Er: 0.9309 0.1138 0.3472  6 O 2.17-2.41, 1 F 2.18
Er: 0.9309 0.3862 0.1528  6 O 2.17-2.41, 1 F 2.18
Er: 0.5691 0.3862 0.8472  6 O 2.17-2.41, 1 F 2.18
F: 0.5650 0.7500 0.2500  2 Er 2.18
F: 0.9350 0.7500 0.7500  2 Er 2.18
F: 0.4350 0.2500 0.7500  2 Er 2.18
F: 0.0650 0.2500 0.2500  2 Er 2.18
O: 0.0207 0.2738 0.0279  1 Si 1.64
O: 0.4793 0.2738 0.9721  1 Si 1.64
O: 0.4793 0.2262 0.5279  1 Si 1.64
O: 0.0207 0.2262 0.4721  1 Si 1.64
O: 0.9793 0.7262 0.9721  1 Si 1.64
O: 0.5207 0.7262 0.0279  1 Si 1.64
O: 0.5207 0.7738 0.4721  1 Si 1.64
O: 0.9793 0.7738 0.5279  1 Si 1.64
O: 0.2707 0.4471 0.0894  1 Si 1.65
O: 0.2293 0.4471 0.9106  1 Si 1.65
O: 0.2293 0.0529 0.5894  1 Si 1.65
O: 0.2707 0.0529 0.4106  1 Si 1.65
O: 0.7293 0.5529 0.9106  1 Si 1.65
O: 0.7707 0.5529 0.0894  1 Si 1.65
O: 0.7707 0.9471 0.4106  1 Si 1.65
O: 0.7293 0.9471 0.5894  1 Si 1.65
O: 0.9800 0.9861 0.0859  1 Se 1.72
O: 0.5200 0.9861 0.9141  1 Se 1.72
O: 0.5200 0.5139 0.5859  1 Se 1.72
O: 0.9800 0.5139 0.4141  1 Se 1.72
O: 0.0200 0.0139 0.9141  1 Se 1.72
O: 0.4800 0.0139 0.0859  1 Se 1.72
O: 0.4800 0.4861 0.4141  1 Se 1.72
O: 0.0200 0.4861 0.5859  1 Se 1.72
O: 0.1814 0.7811 0.1389  1 Se 1.72
O: 0.3186 0.7811 0.8611  1 Se 1.72
O: 0.3186 0.7189 0.6389  1 Se 1.72
O: 0.1814 0.7189 0.3611  1 Se 1.72
O: 0.8186 0.2189 0.8611  1 Se 1.72
O: 0.6814 0.2189 0.1389  1 Se 1.72
O: 0.6814 0.2811 0.3611  1 Se 1.72
O: 0.8186 0.2811 0.6389  1 Se 1.72
O: 0.1273 0.9690 0.2546  1 Se 1.74
O: 0.3727 0.9690 0.7454  1 Se 1.74
O: 0.3727 0.5310 0.7546  1 Se 1.74
O: 0.1273 0.5310 0.2454  1 Se 1.74
O: 0.8727 0.0310 0.7454  1 Se 1.74
O: 0.6273 0.0310 0.2546  1 Se 1.74
O: 0.6273 0.4690 0.2454  1 Se 1.74
O: 0.8727 0.4690 0.7546  1 Se 1.74
Se: 0.9684 0.8846 0.1758  3 O 1.72-1.74
Se: 0.5316 0.8846 0.8242  3 O 1.72-1.74
Se: 0.5316 0.6154 0.6758  3 O 1.72-1.74
Se: 0.9684 0.6154 0.3242  3 O 1.72-1.74
Se: 0.0316 0.1154 0.8242  3 O 1.72-1.74
Se: 0.4684 0.1154 0.1758  3 O 1.72-1.74
Se: 0.4684 0.3846 0.3242  3 O 1.72-1.74
Se: 0.0316 0.3846 0.6758  3 O 1.72-1.74
Si: 0.2500 0.3577 0.0000  4 O 1.64-1.65
Si: 0.2500 0.1423 0.5000  4 O 1.64-1.65
Si: 0.7500 0.6423 0.0000  4 O 1.64-1.65
Si: 0.7500 0.8577 0.5000  4 O 1.64-1.65

As for the final energy: -18.584 eV per atom. Its crystal system is orthorhombic.


No. 10
# ErFe2

A PBEsol-optimized structure of ErFe2 (SCAN, Alexandria via LeMat-Bulk).

a b c (Å): 4.9895 4.9895 8.1085
angles (deg): 90.00 90.00 120.00
With the nearest neighbours (Å) after each atom.
Positions (direct):
Fe: 0.1655 0.3310 0.7500  6 Fe 2.48-2.51
Fe: 0.1655 0.8345 0.7500  6 Fe 2.48-2.51
Fe: 0.3310 0.1655 0.2500  6 Fe 2.48-2.51
Fe: 0.8345 0.6690 0.2500  6 Fe 2.48-2.51
Fe: 0.6690 0.8345 0.7500  6 Fe 2.48-2.51
Fe: 0.0000 0.0000 0.0000  6 Fe 2.48
Fe: 0.8345 0.1655 0.2500  6 Fe 2.48-2.51
Fe: 0.0000 0.0000 0.5000  6 Fe 2.48
Er: 0.3333 0.6667 0.4379  12 Fe 2.92, 4 Er 3.05
Er: 0.6667 0.3333 0.5621  12 Fe 2.92, 4 Er 3.05
Er: 0.6667 0.3333 0.9379  12 Fe 2.92, 4 Er 3.05
Er: 0.3333 0.6667 0.0621  12 Fe 2.92, 4 Er 3.05

The calculation puts the formation energy at -14.5 kJ/mol of formula units. Its crystal system is hexagonal.


No. 11
# Er2Fe17

A PBEsol-optimized structure of Er2Fe17 (SCAN, Alexandria via LeMat-Bulk).

a b c (Å): 8.0354 8.1426 8.1426
angles (deg): 120.00 90.00 90.00
With the nearest neighbours (Å) after each atom.
Positions (direct):
Er: 0.2500 0.0000 0.0000  18 Fe 2.85-3.14
Er: 0.7500 0.0000 0.0000  18 Fe 2.85-3.14
Er: 0.7500 0.3333 0.6667  20 Fe 2.88-3.09
Er: 0.2500 0.6667 0.3333  20 Fe 2.88-3.09
Fe: 0.1084 0.3333 0.6667  4 Fe 2.28-2.51
Fe: 0.8916 0.6667 0.3333  4 Fe 2.28-2.51
Fe: 0.6084 0.6667 0.3333  4 Fe 2.28-2.51
Fe: 0.3916 0.3333 0.6667  4 Fe 2.28-2.51
Fe: 0.0000 0.5000 0.5000  10 Fe 2.36-2.51
Fe: 0.0000 0.0000 0.5000  10 Fe 2.36-2.51
Fe: 0.0000 0.5000 0.0000  10 Fe 2.36-2.51
Fe: 0.5000 0.5000 0.5000  10 Fe 2.36-2.51
Fe: 0.5000 0.0000 0.5000  10 Fe 2.36-2.51
Fe: 0.5000 0.5000 0.0000  10 Fe 2.36-2.51
Fe: 0.2500 0.6321 0.6709  8 Fe 2.36-2.53
Fe: 0.2500 0.0388 0.3679  8 Fe 2.36-2.53
Fe: 0.2500 0.3291 0.9612  8 Fe 2.36-2.53
Fe: 0.2500 0.3291 0.3679  8 Fe 2.36-2.53
Fe: 0.2500 0.6321 0.9612  8 Fe 2.36-2.53
Fe: 0.2500 0.0388 0.6709  8 Fe 2.36-2.53
Fe: 0.7500 0.3679 0.3291  8 Fe 2.36-2.53
Fe: 0.7500 0.9612 0.6321  8 Fe 2.36-2.53
Fe: 0.7500 0.6709 0.0388  8 Fe 2.36-2.53
Fe: 0.7500 0.6709 0.6321  8 Fe 2.36-2.53
Fe: 0.7500 0.3679 0.0388  8 Fe 2.36-2.53
Fe: 0.7500 0.9612 0.3291  8 Fe 2.36-2.53
Fe: 0.9885 0.1652 0.8348  9 Fe 2.34-2.56
Fe: 0.9885 0.6697 0.8348  9 Fe 2.34-2.56
Fe: 0.9885 0.1652 0.3303  9 Fe 2.34-2.56
Fe: 0.0115 0.8348 0.1652  9 Fe 2.34-2.56
Fe: 0.0115 0.3303 0.1652  9 Fe 2.34-2.56
Fe: 0.0115 0.8348 0.6697  9 Fe 2.34-2.56
Fe: 0.4885 0.8348 0.1652  9 Fe 2.34-2.56
Fe: 0.4885 0.3303 0.1652  9 Fe 2.34-2.56
Fe: 0.4885 0.8348 0.6697  9 Fe 2.34-2.56
Fe: 0.5115 0.1652 0.8348  9 Fe 2.34-2.56
Fe: 0.5115 0.6697 0.8348  9 Fe 2.34-2.56
Fe: 0.5115 0.1652 0.3303  9 Fe 2.34-2.56

The calculation puts the formation energy at 40.0 kJ/mol of formula units. Its crystal system is hexagonal.


No. 12
# ErFe3

A PBEsol-optimized structure of ErFe3 (SCAN, Alexandria via LeMat-Bulk).

a b c (Å): 4.9229 4.9229 8.3956
angles (deg): 72.95 72.95 60.00
With the nearest neighbours (Å) after each atom.
Positions (direct):
Er: 0.1420 0.1420 0.5740  12 Fe 2.85-2.96, 3 Er 3.07
Er: 0.0000 0.0000 0.0000  18 Fe 2.84-3.13
Er: 0.8580 0.8580 0.4260  12 Fe 2.85-2.96, 3 Er 3.07
Fe: 0.9194 0.4181 0.2445  7 Fe 2.39-2.47
Fe: 0.4181 0.4181 0.2445  7 Fe 2.39-2.47
Fe: 0.5819 0.0806 0.7555  7 Fe 2.39-2.47
Fe: 0.0806 0.5819 0.7555  7 Fe 2.39-2.47
Fe: 0.4181 0.9194 0.2445  7 Fe 2.39-2.47
Fe: 0.5819 0.5819 0.7555  7 Fe 2.39-2.47
Fe: 0.3329 0.3329 0.0013  6 Fe 2.39-2.41
Fe: 0.6671 0.6671 0.9987  6 Fe 2.39-2.41
Fe: 0.5000 0.5000 0.5000  6 Fe 2.47

The calculation puts the formation energy at -19.1 kJ/mol of formula units. Its crystal system is trigonal.


Calculated ρ in order - 6.63, 3.65, 5.87, 5.81, 5.84, 5.40, 9.01, 8.07, 6.36, 10.60, 9.24, 10.06 g/cm³